! SiSbTe2Ru GGA-PBE relaxed; values from VASP
&SYSTEM
  ibrav = 0, nat = 5, ntyp = 4
/
ATOMIC_SPECIES
Si 28.09 Si.upf
Te 127.60 Te.upf
Ru 101.07 Ru.upf
Sb 121.76 Sb.upf
CELL_PARAMETERS angstrom
5.285 0.000 0.000
0.000 5.285 0.000
0.000 0.000 4.969
ATOMIC_POSITIONS angstrom
Si 2.642 2.642 2.485
Te 2.642 0.000 0.000
Ru 0.000 0.000 0.000
Sb 0.000 0.000 2.485
Te 0.000 2.642 0.000
! **Formation energy from raw total energies**: 0.761 eV/atom
! **Crystal system**: tetragonal
! **Density**: 6.06 g/cm3
! **Offset from the most stable computed form**: 0 meV per atom